No. 1
{
  "formula": "LaVPN2",
  "functional": "PBE",
  "state": "optimized geometry",
  "final_energy_ev_per_atom": -7.728,
  "raw_formation_energy_kcal_per_mol_atoms": -11.69,
  "cell": [[3.982, 0.000, 0.000], [0.000, 3.982, 0.000], [0.000, 0.000, 4.674]],
  "species": ["La", "V", "P", "N", "N"],
  "fractional_positions": [[0.000, 0.000, 0.000], [0.500, 0.500, 0.500], [0.500, 0.500, 0.000], [0.000, 0.500, 0.500], [0.500, 0.000, 0.500]]
}

No. 2
{
  "formula": "Ba2Sn4AsAu3",
  "functional": "PBE",
  "state": "optimized geometry",
  "final_energy_ev_per_atom": -3.996,
  "formation_enthalpy_0k_ev_per_atom": -0.56,
  "cell": [[5.032, 0.000, 0.000], [0.000, 5.032, 0.000], [0.000, 0.000, 10.855]],
  "species": ["Ba", "Ba", "Sn", "Sn", "Sn", "Sn", "As", "Au", "Au", "Au"],
  "fractional_positions": [[0.000, 0.500, 0.241], [0.500, 0.000, 0.759], [0.000, 0.000, 0.500], [0.000, 0.500, 0.880], [0.500, 0.000, 0.120], [0.500, 0.500, 0.500], [0.500, 0.500, 0.000], [0.000, 0.000, 0.000], [0.000, 0.500, 0.626], [0.500, 0.000, 0.374]]
}

No. 3
{
  "formula": "LaCu3Bi",
  "functional": "PBE",
  "state": "optimized geometry",
  "final_energy_ev_per_atom": -3.786,
  "e_above_lowest_polymorph_mev_per_atom": 0.0,
  "formation_enthalpy_0k_ev_per_atom": 0.43,
  "cell": [[5.019, 0.000, 0.000], [0.000, 5.019, 0.000], [0.000, 0.000, 5.019]],
  "species": ["La", "Cu", "Cu", "Cu", "Bi"],
  "fractional_positions": [[0.000, 0.000, 0.000], [0.000, 0.500, 0.500], [0.500, 0.000, 0.500], [0.500, 0.500, 0.000], [0.500, 0.500, 0.500]]
}

No. 4
{
  "formula": "MgTlPt2",
  "functional": "PBE",
  "state": "optimized geometry",
  "final_energy_ev_per_atom": -4.358,
  "formation_enthalpy_0k_ev_per_atom": -0.35,
  "cell": [[3.008, 0.000, 0.000], [0.000, 4.806, 0.000], [0.000, 0.000, 4.928]],
  "species": ["Mg", "Tl", "Pt", "Pt"],
  "fractional_positions": [[0.000, 0.000, 0.000], [0.000, 0.500, 0.424], [0.500, 0.000, 0.522], [0.500, 0.500, 0.926]]
}